4
Lattice="5.196 0.000 0.000 0.000 3.303 -0.251 0.000 0.457 5.872" Properties=species:S:1:pos:R:3 comment="LiTlIn2 (PBE, optimized geometry)" energy_ev_per_atom=-2.5256 magnetic_moment_mub_per_atom=0.0000 pbc="T T T"
In 0.000 0.862 5.769
In 2.598 0.543 1.648
Li 0.000 2.270 2.525
Tl 2.598 2.424 4.361

---

5
Lattice="5.202 0.000 0.000 0.000 5.202 0.000 0.000 0.000 5.202" Properties=species:S:1:pos:R:3 comment="Li3TlIn (PBE, optimized geometry)" energy_ev_per_atom=-2.0434 polymorph_energy_mev_per_atom=322 magnetic_moment_mub_per_atom=0.0000 pbc="T T T"
In 0.000 0.000 0.000
Li 0.000 2.601 0.000
Li 0.000 0.000 2.601
Li 2.601 0.000 0.000
Tl 2.601 2.601 2.601

---

11
Lattice="-2.116 -3.819 2.961 -2.927 -1.560 -4.103 9.812 -3.544 -2.259" Properties=species:S:1:pos:R:3 comment="Li6Tl2In3 (PBE, optimized geometry)" energy_ev_per_atom=-2.2343 polymorph_energy_mev_per_atom=177 magnetic_moment_mub_per_atom=0.0000 pbc="T T T"
Tl -1.427 -3.626 -0.996
Tl 6.195 -5.298 -2.405
In 0.000 0.000 0.000
In 2.181 -1.865 -0.847
In 2.588 -7.058 -2.554
Li -0.245 -1.822 -2.524
Li 4.217 -3.606 -1.637
Li 5.014 -7.102 -0.877
Li 0.552 -5.318 -1.764
Li 0.160 -2.951 1.008
Li 4.609 -5.972 -4.409

---

10
Lattice="4.736 0.000 0.000 -2.368 4.102 0.000 0.000 0.000 10.139" Properties=species:S:1:pos:R:3 comment="Li7Tl2In (PBE, optimized geometry)" energy_ev_per_atom=-2.2419 polymorph_energy_mev_per_atom=0 magnetic_moment_mub_per_atom=0.0000 pbc="T T T"
Tl 0.000 2.734 6.406
Tl 2.368 1.367 2.531
In 0.000 0.000 0.527
Li 0.000 0.000 4.215
Li 0.000 2.734 1.343
Li 0.000 0.000 7.562
Li 2.368 1.367 9.484
Li 0.000 2.734 3.774
Li 2.368 1.367 5.643
Li 0.000 2.734 9.042

---

14
Lattice="-4.974 -4.564 -6.282 -0.384 -4.932 3.887 -4.243 2.803 1.323" Properties=species:S:1:pos:R:3 comment="Li4TlIn2 (PBE, optimized geometry)" energy_ev_per_atom=-2.3824 polymorph_energy_mev_per_atom=0 magnetic_moment_mub_per_atom=0.0000 pbc="T T T"
In -3.743 -1.999 -2.340
In -5.857 -4.693 1.268
In -1.456 -2.191 2.734
In -8.144 -4.501 -3.806
Tl 0.000 0.000 0.000
Tl -2.679 -4.748 -1.198
Li -8.261 -4.314 -0.488
Li -1.540 -4.851 1.348
Li -5.766 -4.232 -1.767
Li -3.834 -2.461 0.695
Li -3.095 0.507 -0.557
Li -8.061 -1.841 -2.421
Li -1.339 -2.378 -0.585
Li -6.505 -7.199 -0.515

---

20
Lattice="4.101 0.000 0.000 0.000 4.101 0.000 0.000 0.000 22.703" Properties=species:S:1:pos:R:3 comment="Li15Tl4In (PBE, optimized geometry)" energy_ev_per_atom=-2.2314 magnetic_moment_mub_per_atom=0.0623 pbc="T T T"
Li 2.050 2.050 4.535
Li 2.050 0.000 20.443
Li 2.050 2.050 9.081
Li 2.050 0.000 11.352
Li 2.050 2.050 13.623
Li 0.000 2.050 2.261
Li 0.000 2.050 15.894
Li 0.000 2.050 6.809
Li 2.050 0.000 15.894
Li 2.050 2.050 18.169
Li 0.000 2.050 20.443
Li 2.050 2.050 0.000
Li 2.050 0.000 6.809
Li 2.050 0.000 2.261
Li 0.000 2.050 11.352
In 0.000 0.000 0.000
Tl 0.000 0.000 13.622
Tl 0.000 0.000 9.082
Tl 0.000 0.000 4.538
Tl 0.000 0.000 18.166

---

8
Lattice="4.794 0.000 0.000 0.000 5.766 0.261 0.000 -2.319 5.286" Properties=species:S:1:pos:R:3 comment="Li6TlIn (PBE, optimized geometry)" energy_ev_per_atom=-2.2813 magnetic_moment_mub_per_atom=0.0000 pbc="T T T"
Li 0.000 -0.266 2.029
Li 2.397 4.978 0.750
Li 0.000 1.510 4.887
Li 0.000 2.517 2.280
Li 2.397 3.662 3.450
Li 2.397 1.975 0.735
Tl 2.397 0.773 3.364
In 0.000 -1.364 4.692

---

12
Lattice="4.756 0.012 0.021 2.397 7.132 0.011 -0.032 0.000 7.282" Properties=species:S:1:pos:R:3 comment="Li3Tl2In (PBE, optimized geometry)" energy_ev_per_atom=-2.4429 polymorph_energy_mev_per_atom=0 magnetic_moment_mub_per_atom=0.0000 pbc="T T T"
Li 4.767 7.138 1.797
Li 4.755 2.377 1.845
Li 4.739 2.377 5.478
Li 2.354 0.006 5.516
Li 2.366 4.766 5.468
Li 2.382 4.766 1.835
Tl -0.016 0.000 3.641
Tl 0.000 0.000 0.000
Tl 4.753 4.766 3.662
Tl 2.369 2.378 3.651
In 2.385 2.453 0.011
In 4.768 4.690 0.021